LiCaH6Pt2: relaxed, PBE.

The structure in POSCAR format:
```
LiCaH6Pt2
1.0
-5.997 -0.065 0.147
1.172 -4.240 4.079
1.078 4.654 2.977
Ca H Pt Li
2 12 4 2
Cartesian
-3.966 2.714 3.051
0.219 -2.364 4.152
-1.983 -2.437 3.202
-0.848 -0.387 3.310
1.069 1.683 4.872
-0.838 -0.482 0.961
-4.816 -1.333 2.331
-0.262 1.824 2.470
-0.910 -0.967 5.666
-3.485 -1.474 4.733
-2.899 0.737 3.893
-2.837 1.317 1.537
-2.909 0.831 6.242
-1.764 2.787 4.001
0.350 0.146 2.275
-4.097 0.203 4.928
-2.791 -3.198 4.452
-0.956 3.548 2.751
-0.936 0.949 4.712
-2.811 -0.599 2.491
```

Output
- space group = No. 15
- crystal system = monoclinic
- density of states at the Fermi level (states/eV/atom) = 0.254

Li2CaHPt: relaxed, PBE.

The structure in POSCAR format:
```
Li2CaHPt
1.0
4.047 0.000 0.000
0.000 4.047 0.000
0.000 0.000 4.641
Pt Li Ca H
1 2 1 1
Cartesian
2.023 2.023 2.321
2.023 0.000 0.000
0.000 2.023 0.000
0.000 0.000 2.321
0.000 0.000 0.000
```

Output
- space group = No. 123
- crystal system = tetragonal
- density of states at the Fermi level (states/eV/atom) = 0.240

LiCa2H6Pt: relaxed, PBE.

The structure in POSCAR format:
```
LiCa2H6Pt
1.0
-1.296 -4.522 -0.894
0.607 -1.151 4.943
-4.532 1.636 -1.705
H Pt Ca Li
6 1 2 1
Cartesian
-0.846 -1.148 1.148
-2.397 -3.133 -0.435
-4.681 -2.308 -1.294
-2.824 -0.904 2.779
-4.375 -2.888 1.196
-0.541 -1.728 3.638
0.000 0.000 0.000
-3.126 -0.363 0.299
-2.095 -3.673 2.045
-0.648 -2.261 -0.447
```

Output
- space group = No. 164
- crystal system = trigonal
- density of states at the Fermi level (states/eV/atom) = 0.188

Calculated uncorrected energy, -80.15, -17.62, -35.95 eV/cell (same order as the records).
Calculated size of the total moment, 0.0, 0.0, 0.0 μB per formula unit (same order as the records).